# 1
A plane-wave DFT calculation with PBE was carried out for a relaxed SiNiAgH2 crystal.

Output
space group	P4/mmm, No. 123
total magnetic moment	0.00	μB per formula unit
total DFT energy (no corrections)	-18.43	eV/cell
crystal system	tetragonal

Cell and atoms, written as extended XYZ:
```
5
Lattice="3.3395 0.0000 0.0000 0.0000 3.3395 0.0000 0.0000 0.0000 5.6380" Properties=species:S:1:pos:R:3 pbc="T T T"
Si 0.0000 0.0000 0.0000
Ni 1.6698 1.6698 0.0000
Ag 1.6698 1.6698 2.8190
H 0.0000 1.6698 2.8190
H 1.6698 0.0000 2.8190
```



# 2
A plane-wave DFT calculation with PBE was carried out for a relaxed SrNiAgH6 crystal.

Output
space group	P-6m2, No. 187
total magnetic moment	0.00	μB per formula unit
total DFT energy (no corrections)	-32.09	eV/cell
crystal system	hexagonal

Cell and atoms, written as extended XYZ:
```
9
Lattice="4.7705 0.0000 0.0000 -2.3853 4.1314 0.0000 0.0000 0.0000 4.5511" Properties=species:S:1:pos:R:3 pbc="T T T"
Sr 0.0000 0.0000 0.0000
Ni 2.3853 1.3771 2.2756
Ag 0.0000 2.7543 2.2756
H 2.3853 0.1971 1.1884
H 2.3853 0.1971 3.3627
H 1.3633 1.9671 1.1884
H 1.3633 1.9671 3.3627
H 3.4072 1.9671 1.1884
H 3.4072 1.9671 3.3627
```